The following is a DFT calculation (PBE-GGA) of a geometry-optimized Nd2HfAg structure.

Space-group type ... P4/mmm (123)
ΔE_f ... -6.9 meV/atom
Offset from the most stable computed form ... 0.000 eV/atom

Lattice parameters (Å, degrees): 3.494 3.494 8.923 90.00 90.00 90.00
Element x y z (fractional)
1 Nd 0.000 0.000 0.240
2 Nd 0.000 0.000 0.760
3 Hf 0.500 0.500 0.500
4 Ag 0.500 0.500 0.000

---

The following is a DFT calculation (PBE-GGA) of a geometry-optimized PrNd3Ho8 structure.

Space-group type ... Immm (71)
ΔE_f ... 291.2 meV/atom

Lattice parameters (Å, degrees): 8.704 8.704 8.704 136.66 98.06 97.61
Element x y z (fractional)
1 Pr 0.000 0.000 0.000
2 Nd 0.251 0.751 0.500
3 Nd 0.500 0.500 0.000
4 Nd 0.749 0.249 0.500
5 Ho 0.078 0.250 0.828
6 Ho 0.251 0.250 0.501
7 Ho 0.251 0.750 0.001
8 Ho 0.422 0.250 0.172
9 Ho 0.578 0.750 0.828
10 Ho 0.749 0.250 0.999
11 Ho 0.749 0.750 0.499
12 Ho 0.922 0.750 0.172

---

The following is a DFT calculation (PBE-GGA) of a geometry-optimized PmAl3Ir2 structure.

Space-group type ... C2/m (12)
ΔE_f ... -818.6 meV/atom
Offset from the most stable computed form ... 0.018 eV/atom

Lattice parameters (Å, degrees): 8.507 8.507 9.953 105.48 105.48 28.26
Element x y z (fractional)
1 Pm 0.000 0.000 0.000
2 Pm 0.161 0.161 0.710
3 Pm 0.839 0.839 0.290
4 Al 0.046 0.046 0.346
5 Al 0.216 0.216 0.394
6 Al 0.325 0.325 0.037
7 Al 0.372 0.372 0.795
8 Al 0.500 0.500 0.500
9 Al 0.628 0.628 0.205
10 Al 0.675 0.675 0.963
11 Al 0.784 0.784 0.606
12 Al 0.954 0.954 0.654
13 Ir 0.191 0.191 0.124
14 Ir 0.362 0.362 0.545
15 Ir 0.473 0.473 0.225
16 Ir 0.527 0.527 0.775
17 Ir 0.638 0.638 0.455
18 Ir 0.809 0.809 0.876